Entry from the Alexandria database: crystalline Li3Ti3VO8 at its relaxed geometry (PBE with a Hubbard U).

Properties
Magnetic moment: 3.73 μB per formula unit
Distance to the lowest polymorph of the same formula: 0 meV/atom
Energy: -7.6654 eV/atom

Cell lengths 5.952, 5.952, 6.028 Å; angles 90.29, 119.35, 119.90 degrees
Each line ends with the local moment (μB).
Sites, in units of the cell vectors:
Li 0.000 0.500 0.500  0.00
Li 0.500 0.500 0.500  0.00
Li 0.000 0.000 0.500  0.00
Ti 0.500 0.500 0.000  0.15
Ti 0.000 0.500 0.000  0.38
Ti 0.500 0.000 0.000  0.38
V 0.000 0.000 0.000  2.44
O 0.516 0.264 0.779  0.01
O 0.484 0.736 0.221  0.01
O 0.018 0.749 0.767  0.01
O 0.982 0.251 0.233  0.01
O 0.034 0.279 0.781  0.00
O 0.502 0.747 0.781  0.00
O 0.498 0.253 0.219  0.00
O 0.966 0.721 0.219  0.00